# Pm3BiI7, optimized geometry, DFT GGA-PBE
data_Pm3BiI7
_chemical_formula_sum 'Pm3 Bi1 I7'
_symmetry_space_group_name_H-M 'P 3 m 1'
_symmetry_Int_Tables_number 156
_cell_length_a 8.9245
_cell_length_b 8.9245
_cell_length_c 7.5211
_cell_angle_alpha 90.00
_cell_angle_beta 90.00
_cell_angle_gamma 120.00
loop_
_symmetry_equiv_pos_as_xyz
'x,y,z'
'-y,x-y,z'
'-x+y,-x,z'
'-y,-x,z'
'-x+y,y,z'
'x,x-y,z'
loop_
_atom_site_label
_atom_site_type_symbol
_atom_site_fract_x
_atom_site_fract_y
_atom_site_fract_z
_atom_site_occupancy
Pm1 Pm 0.1725 0.3449 0.0000 1
Bi1 Bi 0.3333 0.6667 0.2749 1
I1 I 0.0000 0.0000 0.7517 1
I2 I 0.0051 0.5025 0.7548 1
I3 I 0.3287 0.1643 0.2304 1
# E_form (uncorrected) (kJ per mole of atoms): -112.2
# ρ (Mg/m³): 4.905
# Crystal system: trigonal